1.
Crystalline Mn2ReAs at its relaxed geometry, computed with PBEsol.

## Properties
As for the space group: Pmm2, No. 25. The energy comes out at -9.39 eV/atom. The value obtained for the mass density is 12.19 g/cm³.

Geometry as extended XYZ:
```
4
Lattice="2.7878 0.0000 0.0000 0.0000 4.1593 0.0000 0.0000 0.0000 4.3575" Properties=species:S:1:pos:R:3 pbc="T T T"
As 1.3939 2.0797 0.8236
Mn 0.0000 0.0000 0.1355
Mn 0.0000 2.0797 3.2415
Re 1.3939 0.0000 2.3357
```

***

2.
Crystalline InTcP at its relaxed geometry, computed with PBEsol.

## Properties
As for the space group: F-43m, No. 216. The energy comes out at -6.26 eV/atom. The value obtained for the mass density is 7.91 g/cm³.

Geometry as extended XYZ:
```
3
Lattice="4.1672 0.0000 0.0000 2.0836 3.6089 0.0000 2.0836 1.2030 3.4025" Properties=species:S:1:pos:R:3 pbc="T T T"
In 4.1672 2.4059 1.7013
P 6.2508 3.6089 2.5519
Tc 0.0000 0.0000 0.0000
```

***

3.
Crystalline YMn2Re at its relaxed geometry, computed with PBEsol.

## Properties
As for the space group: Imm2, No. 44. The energy comes out at -9.49 eV/atom. The value obtained for the mass density is 10.44 g/cm³.

Geometry as extended XYZ:
```
4
Lattice="2.9980 0.0000 0.0000 0.0000 4.4999 0.0000 -1.4990 -2.2499 4.5392" Properties=species:S:1:pos:R:3 pbc="T T T"
Mn 0.0000 0.0000 0.2248
Mn 1.4990 0.0000 2.3259
Re 0.0000 0.0000 4.2740
Y 0.0000 2.2499 2.2536
```

***

4.
Crystalline Fe2IrOs at its relaxed geometry, computed with PBEsol.

## Properties
As for the space group: C2/m, No. 12. The energy comes out at -9.90 eV/atom. The value obtained for the mass density is 16.28 g/cm³.

Geometry as extended XYZ:
```
4
Lattice="2.6369 0.0000 0.0000 -1.3184 4.2476 -0.0020 0.0000 -0.8088 4.5014" Properties=species:S:1:pos:R:3 pbc="T T T"
Fe 1.3184 1.5127 3.4030
Fe 0.0000 1.9261 1.0963
Ir 0.0000 -0.4044 2.2507
Os 1.3184 0.0000 0.0000
```

***

5.
Crystalline Na2ZnF at its relaxed geometry, computed with PBEsol.

## Properties
As for the space group: I-42d, No. 122. The energy relative to the elements, uncorrected is -1.0390 eV/atom. The value obtained for the mass density is 2.41 g/cm³.

Geometry as extended XYZ:
```
8
Lattice="6.1830 0.0166 0.0261 -2.4885 5.6601 -0.0261 -2.4885 -2.4211 5.1163" Properties=species:S:1:pos:R:3 pbc="T T T"
Na 3.8969 2.6066 0.6493
Na -1.4466 -0.1607 3.1944
Na 1.6449 0.9497 2.5061
Na -1.6831 3.1157 3.8827
Zn 0.0000 0.0000 0.0000
Zn 0.6030 3.6481 1.2726
F -2.4885 1.6195 2.5451
F 0.6030 -0.3925 3.8437
```

***

6.
Crystalline SbTeOs2 at its relaxed geometry, computed with PBEsol.

## Properties
As for the space group: I4/mmm, No. 139. The energy relative to the elements, uncorrected is 0.7845 eV/atom. The value obtained for the mass density is 15.02 g/cm³.

Geometry as extended XYZ:
```
4
Lattice="4.4604 0.0000 0.0000 -2.2302 4.1493 0.0128 0.0000 2.3857 3.7687" Properties=species:S:1:pos:R:3 pbc="T T T"
Os 0.0000 2.6711 0.9486
Os 2.2302 3.8639 2.8330
Sb 2.2302 1.1928 1.8844
Te 0.0000 0.0000 0.0000
```

***

7.
Crystalline EuMgGa3 at its relaxed geometry, computed with PBEsol.

## Properties
As for the space group: I-4m2, No. 119. The energy comes out at -4.93 eV/atom. The value obtained for the mass density is 6.26 g/cm³.

Geometry as extended XYZ:
```
5
Lattice="4.2591 0.0000 0.0000 0.0000 4.2591 0.0000 -2.1295 -2.1295 5.6383" Properties=species:S:1:pos:R:3 pbc="T T T"
Eu 0.0000 0.0000 0.0000
Mg 2.1295 0.0000 2.8192
Ga 2.1295 2.1295 1.2257
Ga 0.0000 0.0000 4.4126
Ga 0.0000 2.1295 2.8192
```

***

8.
Crystalline Zn2AsPb at its relaxed geometry, computed with PBEsol.

## Properties
As for the space group: I-4m2, No. 119. The energy comes out at -2.83 eV/atom. The value obtained for the mass density is 8.52 g/cm³.

Geometry as extended XYZ:
```
4
Lattice="-1.1390 -3.5536 1.3050 2.2813 0.4433 3.1981 -4.5064 3.7364 0.2533" Properties=species:S:1:pos:R:3 pbc="T T T"
As 0.5712 -1.5552 2.2516
Pb -0.8270 1.3123 2.8515
Zn 0.0000 0.0000 0.0000
Zn -2.5372 -0.6862 1.9050
```

***

9.
Crystalline Mg5Ti13O30 at its relaxed geometry, computed with PBEsol.

## Properties
As for the space group: Pm, No. 6. The energy relative to the elements, uncorrected is -3.0144 eV/atom. The value obtained for the mass density is 3.72 g/cm³.

Geometry as extended XYZ:
```
48
Lattice="-0.3015 -5.1914 0.1471 9.8234 -0.6202 -1.7521 1.9203 1.3376 10.2928" Properties=species:S:1:pos:R:3 pbc="T T T"
Mg -0.0773 -3.4118 0.7741
Mg 5.2270 -3.3935 1.9833
Mg 5.7648 -4.6516 5.4434
Mg 0.7616 0.5033 4.0918
Mg 6.6082 -0.7734 8.7993
Ti 6.5726 -4.3846 -0.6157
Ti 2.9586 -4.1565 0.0289
Ti 2.1778 -2.6146 2.7335
Ti 8.4188 -3.0086 1.6203
Ti 2.7686 -3.9124 6.1751
Ti 8.8960 -4.2993 5.0822
Ti 7.4065 -0.4987 2.6955
Ti 4.3539 -1.5185 6.8485
Ti 3.7964 -0.2708 3.3394
Ti 7.9440 -1.7451 6.2082
Ti 1.3050 -0.7790 7.5922
Ti 3.6188 0.0128 9.5589
Ti 9.7484 -0.3742 8.4656
O 8.2368 -5.3152 -1.2239
O 1.0865 -4.8638 0.0514
O 3.2385 -4.3273 1.9406
O 6.9496 -4.5616 1.2787
O 4.8589 -3.5345 -0.0308
O 5.3985 -4.8160 3.4482
O 0.2895 -3.2666 2.7791
O 1.8701 -2.4484 0.8092
O 8.0628 -2.8394 -0.2953
O 8.6252 -4.1181 3.2117
O 2.3985 -3.7250 4.3224
O 6.7408 -2.1041 2.2178
O 4.0559 -1.9346 2.6966
O 7.3064 -3.3732 5.7063
O 4.5761 -3.2008 6.1932
O 9.0769 -1.3999 2.1181
O 1.9327 -0.9489 3.3924
O 9.6882 -2.6607 5.5960
O 2.4077 -2.2010 6.8945
O 4.6414 -1.7050 8.7420
O 7.8002 -0.6326 4.6169
O 4.0753 -0.3974 5.2813
O 8.3057 -1.9363 8.0884
O 6.2378 -0.8933 6.7654
O 1.1360 0.5690 6.1678
O 1.6516 -0.7011 9.5080
O 3.2154 0.1368 7.6313
O 9.4752 -0.2584 6.5148
O 8.1176 0.5248 9.0184
O 5.4368 0.6941 9.4966
```

***

10.
Crystalline RePtCl2 at its relaxed geometry, computed with PBEsol.

## Properties
As for the space group: F-43m, No. 216. The energy relative to the elements, uncorrected is 1.0161 eV/atom. The value obtained for the mass density is 11.90 g/cm³.

Geometry as extended XYZ:
```
4
Lattice="-3.7949 2.0186 -1.2230 -3.9404 -1.8639 0.9853 -2.6397 1.8570 3.0911" Properties=species:S:1:pos:R:3 pbc="T T T"
Re -7.7813 1.5088 2.1400
Pt -5.1875 1.0059 1.4267
Cl 0.0000 0.0000 0.0000
Cl -2.5938 0.5029 0.7133
```

***

11.
Crystalline TaNi4Ag at its relaxed geometry, computed with PBEsol.

## Properties
As for the space group: F-43m, No. 216. The energy comes out at -6.94 eV/atom. The value obtained for the mass density is 11.88 g/cm³.

Geometry as extended XYZ:
```
6
Lattice="4.6946 0.0000 0.0000 2.3473 4.0656 0.0000 2.3473 1.3552 3.8331" Properties=species:S:1:pos:R:3 pbc="T T T"
Ag 0.0000 0.0000 0.0000
Ni 4.6946 2.7104 0.4782
Ni 3.5202 3.3884 2.3960
Ni 4.6946 1.3543 2.3960
Ni 5.8690 3.3884 2.3960
Ta 2.3473 1.3552 0.9583
```

***

12.
Crystalline Tl2TePb at its relaxed geometry, computed with PBEsol.

## Properties
As for the space group: I4/mmm, No. 139. The energy relative to the elements, uncorrected is -0.1318 eV/atom. The value obtained for the mass density is 10.34 g/cm³.

Geometry as extended XYZ:
```
4
Lattice="4.6616 0.0000 0.0000 0.0000 4.6616 0.0000 -2.3308 -2.3308 5.4950" Properties=species:S:1:pos:R:3 pbc="T T T"
Pb 2.3308 2.3308 0.0000
Tl 2.3308 0.0000 2.7475
Tl 0.0000 2.3308 2.7475
Te 0.0000 0.0000 0.0000
```

***

13.
Crystalline LiCd2Rh at its relaxed geometry, computed with PBEsol.

## Properties
As for the space group: I4/mmm, No. 139. The energy comes out at -3.38 eV/atom. The value obtained for the mass density is 8.56 g/cm³.

Geometry as extended XYZ:
```
4
Lattice="-2.8110 -0.2584 3.5153 -1.3506 -1.3986 -4.0738 -0.5841 -4.3999 -0.7905" Properties=species:S:1:pos:R:3 pbc="T T T"
Cd -1.5240 -1.8639 -1.3557
Cd -3.2216 -4.1930 0.0067
Rh 0.0000 0.0000 0.0000
Li -1.6975 -2.3292 1.3624
```

***

14.
Crystalline CaFeBr2 at its relaxed geometry, computed with PBEsol.

## Properties
As for the space group: P2/m, No. 10. The energy relative to the elements, uncorrected is -0.4214 eV/atom. The value obtained for the mass density is 4.91 g/cm³.

Geometry as extended XYZ:
```
4
Lattice="-3.0648 -1.6275 0.2253 0.2285 -0.9491 -3.7471 2.9810 -5.4696 1.5672" Properties=species:S:1:pos:R:3 pbc="T T T"
Ca -1.4181 -1.2883 -1.7609
Fe 1.6048 -3.2094 -1.0899
Br 2.2226 -4.0834 1.1699
Br -2.3063 -3.0137 0.6227
```

***

15.
Crystalline MnAg2Au at its relaxed geometry, computed with PBEsol.

## Properties
As for the space group: I-4m2, No. 119. The energy comes out at -4.98 eV/atom. The value obtained for the mass density is 12.10 g/cm³.

Geometry as extended XYZ:
```
4
Lattice="4.0229 0.0000 0.0000 0.0000 4.0229 0.0000 -2.0114 -2.0114 3.9651" Properties=species:S:1:pos:R:3 pbc="T T T"
Mn 2.0114 0.0000 1.9825
Au 2.0114 2.0114 0.0000
Ag 0.0000 0.0000 0.0000
Ag 0.0000 2.0114 1.9825
```

***

16.
Crystalline PrSi2Ir3 at its relaxed geometry, computed with PBEsol.

## Properties
As for the space group: Imma, No. 74. The energy relative to the elements, uncorrected is -0.9590 eV/atom. The value obtained for the mass density is 13.18 g/cm³.

Geometry as extended XYZ:
```
12
Lattice="5.5756 0.0000 0.0000 2.7878 6.0434 -0.0138 2.7878 1.7508 5.7842" Properties=species:S:1:pos:R:3 pbc="T T T"
Pr 9.6110 5.8456 4.3278
Pr 1.5402 1.9485 1.4426
Si 6.7046 7.1698 5.3082
Si 4.4466 0.6243 0.4622
Si 6.7046 4.5214 3.3474
Si 4.4466 3.2728 2.4230
Ir 4.1817 3.0217 -0.0069
Ir 4.1817 0.8754 2.8921
Ir 2.7878 4.8436 1.6067
Ir 2.7878 2.9505 4.1637
Ir 5.5756 5.0968 1.2647
Ir 5.5756 2.6973 4.5057
```

***

17.
Crystalline Mg2FeAs at its relaxed geometry, computed with PBEsol.

## Properties
As for the space group: R-3m, No. 166. The energy comes out at -4.20 eV/atom. The value obtained for the mass density is 4.42 g/cm³.

Geometry as extended XYZ:
```
4
Lattice="2.9775 0.0000 0.0000 1.4887 2.5786 0.0000 1.4887 0.8595 8.7810" Properties=species:S:1:pos:R:3 pbc="T T T"
As 2.9775 1.7190 4.3905
Fe 0.0000 0.0000 0.0000
Mg 1.4887 0.8595 2.0809
Mg 4.4662 2.5786 6.7001
```

***

18.
Crystalline SrCa2BiSb at its relaxed geometry, computed with PBEsol.

## Properties
As for the space group: P4/mmm, No. 123. The energy relative to the elements, uncorrected is -0.4623 eV/atom. The value obtained for the mass density is 4.03 g/cm³.

Geometry as extended XYZ:
```
5
Lattice="-5.6441 -0.9237 0.8896 -0.2234 -3.2452 -4.7874 1.3365 -4.9770 3.3114" Properties=species:S:1:pos:R:3 pbc="T T T"
Sb -2.2655 -4.5730 -0.2932
Ca -0.1117 -1.6226 -2.3937
Ca -2.8220 -0.4619 0.4448
Bi 0.0000 0.0000 0.0000
Sr 0.6682 -2.4885 1.6557
```

***

19.
Crystalline TmTe at its relaxed geometry, computed with PBEsol.

## Properties
As for the space group: Fm-3m, No. 225. The energy relative to the elements, uncorrected is -1.2256 eV/atom. The value obtained for the mass density is 9.16 g/cm³.

Geometry as extended XYZ:
```
2
Lattice="-1.5243 3.6741 -1.4581 -3.2571 1.8694 1.9609 0.6161 3.5699 2.1965" Properties=species:S:1:pos:R:3 pbc="T T T"
Tm 0.0000 0.0000 0.0000
Te -2.0827 4.5567 1.3497
```

***

20.
Crystalline Y2Co5Ni5 at its relaxed geometry, computed with PBEsol.

## Properties
As for the space group: Pmmm, No. 47. The energy comes out at -7.09 eV/atom. The value obtained for the mass density is 8.12 g/cm³.

Geometry as extended XYZ:
```
12
Lattice="3.8998 0.0000 0.0000 0.0000 4.8391 0.0000 0.0000 0.0000 8.3016" Properties=species:S:1:pos:R:3 pbc="T T T"
Y 0.0000 2.4195 0.0000
Y 0.0000 0.0000 4.1508
Co 0.0000 2.4195 2.8275
Co 0.0000 0.0000 6.9279
Co 0.0000 0.0000 1.3737
Co 0.0000 2.4195 5.4741
Co 1.9499 2.4195 4.1508
Ni 1.9499 0.0000 0.0000
Ni 1.9499 3.6302 2.0781
Ni 1.9499 1.2089 6.2235
Ni 1.9499 1.2089 2.0781
Ni 1.9499 3.6302 6.2235
```

***

21.
Crystalline BaCo2 at its relaxed geometry, computed with PBEsol.

## Properties
As for the space group: P4/mmm, No. 123. The energy comes out at -5.24 eV/atom. The value obtained for the mass density is 7.06 g/cm³.

Geometry as extended XYZ:
```
3
Lattice="-2.4593 1.2575 1.8891 -2.0287 0.0301 -2.6611 -1.6285 -4.9657 1.1854" Properties=species:S:1:pos:R:3 pbc="T T T"
Co -1.8286 -2.4678 -0.7379
Co -2.0439 -1.8541 1.5372
Ba 0.0000 0.0000 0.0000
```

***

22.
Crystalline LiScOs2 at its relaxed geometry, computed with PBEsol.

## Properties
As for the space group: Imm2, No. 44. The energy comes out at -8.13 eV/atom. The value obtained for the mass density is 12.08 g/cm³.

Geometry as extended XYZ:
```
4
Lattice="-2.6120 0.8125 1.0596 -1.9425 -3.3002 -2.2577 2.8581 -1.5357 4.1623" Properties=species:S:1:pos:R:3 pbc="T T T"
Li -0.6637 -3.1215 0.7575
Os 0.0074 -0.0356 0.0457
Os -1.0332 -0.8988 2.2029
Sc 0.5741 -2.7469 3.5214
```

***

23.
Crystalline CaScZn2 at its relaxed geometry, computed with PBEsol.

## Properties
As for the space group: P4mm, No. 99. The energy comes out at -3.05 eV/atom. The value obtained for the mass density is 4.23 g/cm³.

Geometry as extended XYZ:
```
4
Lattice="3.2406 0.0000 0.0000 0.0000 3.2406 0.0000 0.0000 0.0000 8.0741" Properties=species:S:1:pos:R:3 pbc="T T T"
Sc 1.6203 1.6203 6.5930
Zn 0.0000 0.0000 0.2351
Zn 1.6203 1.6203 1.5911
Ca 0.0000 0.0000 3.6919
```

***

24.
Crystalline BeSb2As at its relaxed geometry, computed with PBEsol.

## Properties
As for the space group: I-4m2, No. 119. The energy relative to the elements, uncorrected is 0.5394 eV/atom. The value obtained for the mass density is 6.44 g/cm³.

Geometry as extended XYZ:
```
4
Lattice="3.9417 0.0000 0.0000 0.0000 3.9417 0.0000 -1.9709 -1.9709 5.4307" Properties=species:S:1:pos:R:3 pbc="T T T"
Sb 0.0000 0.0000 0.0000
Sb 1.9709 0.0000 2.7154
As 1.9709 1.9709 0.0000
Be 0.0000 1.9709 2.7154
```

***

25.
Crystalline Ta3FeSb at its relaxed geometry, computed with PBEsol.

## Properties
As for the space group: Pm-3m, No. 221. The energy relative to the elements, uncorrected is 2.2488 eV/atom. The value obtained for the mass density is 10.02 g/cm³.

Geometry as extended XYZ:
```
5
Lattice="4.9239 0.0000 0.0000 0.0000 4.9239 0.0000 0.0000 0.0000 4.9239" Properties=species:S:1:pos:R:3 pbc="T T T"
Sb 0.0000 0.0000 0.0000
Fe 2.4619 2.4619 2.4619
Ta 0.0000 2.4619 0.0000
Ta 0.0000 0.0000 2.4619
Ta 2.4619 0.0000 0.0000
```

***

26.
Crystalline TaAlRu2 at its relaxed geometry, computed with PBEsol.

## Properties
As for the space group: F-43m, No. 216. The energy comes out at -9.20 eV/atom. The value obtained for the mass density is 11.58 g/cm³.

Geometry as extended XYZ:
```
4
Lattice="4.3646 0.0000 0.0000 2.1823 3.7798 0.0000 2.1823 1.2599 3.5637" Properties=species:S:1:pos:R:3 pbc="T T T"
Ru 0.0000 0.0000 0.0000
Ru 6.5469 3.7798 2.6728
Al 4.3646 2.5199 1.7818
Ta 2.1823 1.2599 0.8909
```

***

27.
Crystalline SrSb2TePb at its relaxed geometry, computed with PBEsol.

## Properties
As for the space group: P4/mmm, No. 123. The energy relative to the elements, uncorrected is 0.5548 eV/atom. The value obtained for the mass density is 5.52 g/cm³.

Geometry as extended XYZ:
```
5
Lattice="5.8347 0.0000 0.0000 0.0000 5.8347 0.0000 0.0000 0.0000 5.8864" Properties=species:S:1:pos:R:3 pbc="T T T"
Pb 2.9173 2.9173 2.9432
Sb 0.0000 2.9173 0.0000
Sb 2.9173 0.0000 0.0000
Te 0.0000 0.0000 2.9432
Sr 0.0000 0.0000 0.0000
```